No. 1
Below is a crystal of TeAs3S relaxed with PBEsol, with properties calculated at the meta-GGA SCAN level.

Unit cell a=5.199 b=5.199 c=5.199 alpha=90.00 beta=90.00 gamma=90.00
Fractional coordinates of all 5 atoms:
Te (0.000, 0.000, 0.000)
As (0.000, 0.000, 0.500)
As (0.000, 0.500, 0.000)
As (0.500, 0.000, 0.000)
S (0.500, 0.500, 0.500)

Magnetization ... 0.51 μB/atom
Density of states at the Fermi level ... 4.8 states/eV/cell
ΔE_f (raw) ... 1.42 eV per atom
Space-group type ... Pm-3m (221)

No. 2
Below is a crystal of ThAsS relaxed with PBEsol, with properties calculated at the meta-GGA SCAN level.

Unit cell a=3.974 b=3.974 c=8.244 alpha=90.00 beta=90.00 gamma=90.00
Fractional coordinates of all 6 atoms:
Th (0.250, 0.250, 0.218)
Th (0.750, 0.750, 0.782)
As (0.250, 0.750, 0.500)
As (0.750, 0.250, 0.500)
S (0.250, 0.250, 0.865)
S (0.750, 0.750, 0.135)

Magnetization ... 0.00 μB/atom
Density of states at the Fermi level ... 1.9 states/eV/cell
ΔE_f (raw) ... -1.68 eV per atom
Space-group type ... P4/nmm (129)

No. 3
Below is a crystal of TiAs2S relaxed with PBEsol, with properties calculated at the meta-GGA SCAN level.

Unit cell a=7.188 b=7.188 c=7.188 alpha=134.11 beta=134.11 gamma=66.91
Fractional coordinates of all 8 atoms:
Ti (0.000, 0.000, 0.000)
Ti (0.750, 0.250, 0.500)
As (0.118, 0.625, 0.993)
As (0.375, 0.368, 0.493)
As (0.632, 0.125, 0.007)
As (0.875, 0.882, 0.507)
S (0.250, 0.750, 0.500)
S (0.500, 0.500, 0.000)

Magnetization ... 0.00 μB/atom
Density of states at the Fermi level ... 9.4 states/eV/cell
ΔE_f (raw) ... 0.19 eV per atom
Space-group type ... I-42d (122)

No. 4
Below is a crystal of Tl3AsS3 relaxed with PBEsol, with properties calculated at the meta-GGA SCAN level.

Unit cell a=5.635 b=12.075 c=21.187 alpha=90.00 beta=90.00 gamma=90.00
Fractional coordinates of all 56 atoms:
Tl (0.045, 0.069, 0.193)
Tl (0.045, 0.431, 0.693)
Tl (0.088, 0.673, 0.474)
Tl (0.088, 0.827, 0.974)
Tl (0.094, 0.223, 0.815)
Tl (0.094, 0.277, 0.315)
Tl (0.406, 0.723, 0.815)
Tl (0.406, 0.777, 0.315)
Tl (0.412, 0.173, 0.474)
Tl (0.412, 0.327, 0.974)
Tl (0.455, 0.569, 0.193)
Tl (0.455, 0.931, 0.693)
Tl (0.545, 0.069, 0.307)
Tl (0.545, 0.431, 0.807)
Tl (0.588, 0.673, 0.026)
Tl (0.588, 0.827, 0.526)
Tl (0.594, 0.223, 0.685)
Tl (0.594, 0.277, 0.185)
Tl (0.906, 0.723, 0.685)
Tl (0.906, 0.777, 0.185)
Tl (0.912, 0.173, 0.026)
Tl (0.912, 0.327, 0.526)
Tl (0.955, 0.569, 0.307)
Tl (0.955, 0.931, 0.807)
As (0.044, 0.052, 0.583)
As (0.044, 0.448, 0.083)
As (0.456, 0.552, 0.583)
As (0.456, 0.948, 0.083)
As (0.544, 0.052, 0.917)
As (0.544, 0.448, 0.417)
As (0.956, 0.552, 0.917)
As (0.956, 0.948, 0.417)
S (0.114, 0.111, 0.683)
S (0.114, 0.389, 0.183)
S (0.119, 0.630, 0.090)
S (0.119, 0.870, 0.590)
S (0.140, 0.055, 0.917)
S (0.140, 0.445, 0.417)
S (0.360, 0.555, 0.917)
S (0.360, 0.945, 0.417)
S (0.381, 0.130, 0.090)
S (0.381, 0.370, 0.590)
S (0.386, 0.611, 0.683)
S (0.386, 0.889, 0.183)
S (0.614, 0.111, 0.817)
S (0.614, 0.389, 0.317)
S (0.619, 0.630, 0.410)
S (0.619, 0.870, 0.910)
S (0.640, 0.055, 0.583)
S (0.640, 0.445, 0.083)
S (0.860, 0.555, 0.583)
S (0.860, 0.945, 0.083)
S (0.881, 0.130, 0.410)
S (0.881, 0.370, 0.910)
S (0.886, 0.611, 0.817)
S (0.886, 0.889, 0.317)

Excess energy over the best structure of this formula in the dataset ... 0.000 eV/atom
Magnetization ... 0.00 μB/atom
Density of states at the Fermi level ... 0.0 states/eV/cell
ΔE_f (raw) ... -0.37 eV per atom
Space-group type ... Pbca (61)